Material: ScCdSi
Method: DFT, GGA-PBE
State: optimized geometry

**SG**: P3m1, No. 156
**DOS at the Fermi energy**: 2.43 states/eV per cell
**Energy relative to the elements, uncorrected**: 0.0420 eV/atom

a b c (Å): 3.1683 3.1683 7.0523
angles (deg): 90.00 90.00 120.00
Positions (direct):
Sc 0.0000 0.0000 0.0000
Cd 0.3333 0.6667 0.6355
Si 0.6667 0.3333 0.3045

---

Material: Sc2CdSi
Method: DFT, GGA-PBE
State: optimized geometry

**SG**: C2/m, No. 12
**DOS at the Fermi energy**: 2.00 states/eV per cell
**Energy relative to the elements, uncorrected**: -0.2836 eV/atom

a b c (Å): 4.3922 4.3922 6.4965
angles (deg): 101.13 101.13 45.75
Positions (direct):
Sc 0.2350 0.2350 0.2123
Sc 0.7650 0.7650 0.7877
Cd 0.0000 0.0000 0.5000
Si 0.5000 0.5000 0.0000